NaPr2Al: relaxed, GGA-PBE.

Cell lengths 5.4110, 5.4110, 3.9996 Å; angles 90.00, 90.00, 90.00 degrees
Fractional positions:
Na 0.0000 0.0000 0.0000
Pr 0.0000 0.5000 0.5000
Pr 0.5000 0.0000 0.5000
Al 0.5000 0.5000 0.0000

Results
ΔE_f = -2 kJ per mole of atoms
space-group type = P4/mmm, No. 123
Fermi-level density of states = 0.99 states/eV per atom



HfI2N2: relaxed, GGA-PBE.

Cell lengths 4.2669, 4.2669, 6.4644 Å; angles 90.00, 90.00, 90.00 degrees
Fractional positions:
Hf 0.0000 0.0000 0.0000
I 0.0000 0.0000 0.5000
I 0.5000 0.5000 0.5000
N 0.0000 0.5000 0.0000
N 0.5000 0.0000 0.0000

Results
space-group type = P4/mmm, No. 123
E_form (uncorrected) = 2.81 eV per formula unit
Fermi-level density of states = 0.64 states/eV per atom



Li2UBiTe4: relaxed, GGA-PBE.

Cell lengths 7.5208, 4.3952, 7.6808 Å; angles 90.00, 109.80, 90.00 degrees
Fractional positions:
Li 0.0000 0.0000 0.0000
Li 0.0000 0.5000 0.5000
U 0.5000 0.0000 0.5000
Bi 0.5000 0.5000 0.0000
Te 0.2362 0.0000 0.7434
Te 0.2386 0.5000 0.2489
Te 0.7614 0.5000 0.7511
Te 0.7638 0.0000 0.2566

Results
space-group type = P2/m, No. 10
E_form (uncorrected) = -4.91 eV per formula unit
Fermi-level density of states = 0.73 states/eV per atom



Pr2InTe: relaxed, GGA-PBE.

Cell lengths 8.9950, 8.9950, 8.9950 Å; angles 27.23, 27.23, 27.23 degrees
Fractional positions:
Pr 0.0000 0.0000 0.0000
Pr 0.1768 0.1768 0.1768
In 0.7557 0.7557 0.7557
Te 0.5874 0.5874 0.5874

Results
space-group type = R3m, No. 160
E_form (uncorrected) = -3.26 eV per formula unit
Fermi-level density of states = 1.00 states/eV per atom